Entry 1:
# YHo6Tm3, relaxed, DFT PBE
data_YHo6Tm3
_chemical_formula_sum 'Y4 Ho24 Tm12'
_cell_length_a 9.5394
_cell_length_b 20.7678
_cell_length_c 6.3153
_cell_angle_alpha 90.00
_cell_angle_beta 90.00
_cell_angle_gamma 90.00
_symmetry_space_group_name_H-M 'C m c 21'
_symmetry_Int_Tables_number 36
loop_
_symmetry_equiv_pos_as_xyz
'x,y,z'
'-x,-y,z+1/2'
'-x,y,z'
'x,-y,z+1/2'
'x+1/2,y+1/2,z'
'-x+1/2,-y+1/2,z+1/2'
'-x+1/2,y+1/2,z'
'x+1/2,-y+1/2,z+1/2'
loop_
_atom_site_label
_atom_site_fract_x
_atom_site_fract_y
_atom_site_fract_z
Y1 0.0000 0.1612 0.0000
Ho1 0.0000 0.0148 0.1986
Ho2 0.0000 0.3018 0.2278
Ho3 0.1763 0.2808 0.6861
Ho4 0.1813 0.4402 0.4449
Tm1 0.0000 0.4192 0.9195
Tm2 0.1694 0.1261 0.5246
# E, eV per formula unit: -46.08
# D(E_F), states/eV per cell: 62.685
# ΔE to the lowest computed polymorph, meV per atom: 0

***

Entry 2:
# Y6HoTm12, relaxed, DFT PBE
data_Y6HoTm12
_chemical_formula_sum 'Y18 Ho3 Tm36'
_cell_length_a 13.0396
_cell_length_b 13.0396
_cell_length_c 12.4750
_cell_angle_alpha 90.00
_cell_angle_beta 90.00
_cell_angle_gamma 120.00
_symmetry_space_group_name_H-M 'R -3 m'
_symmetry_Int_Tables_number 166
_symmetry_space_group_name_Hall '-R 3 2"'
loop_
_atom_site_label
_atom_site_fract_x
_atom_site_fract_y
_atom_site_fract_z
Y1 0.0370 0.5185 0.1209
Ho1 0.0000 0.0000 0.5000
Tm1 0.0000 0.2561 0.0000
Tm2 0.0910 0.1820 0.7630
# E, eV per formula unit: -92.76
# D(E_F), states/eV per cell: 104.342
# ΔE to the lowest computed polymorph, meV per atom: 36

***

Entry 3:
# YHo2Tm5, relaxed, DFT PBE
data_YHo2Tm5
_chemical_formula_sum 'Y2 Ho4 Tm10'
_cell_length_a 6.3846
_cell_length_b 9.4212
_cell_length_c 9.6816
_cell_angle_alpha 107.13
_cell_angle_beta 102.89
_cell_angle_gamma 107.39
_symmetry_space_group_name_H-M 'P -1'
_symmetry_Int_Tables_number 2
loop_
_symmetry_equiv_pos_as_xyz
'x,y,z'
'-x,-y,-z'
loop_
_atom_site_label
_atom_site_fract_x
_atom_site_fract_y
_atom_site_fract_z
Y1 0.2207 0.4340 0.4863
Ho1 0.2322 0.9319 0.8032
Ho2 0.3695 0.2675 0.1580
Tm1 0.0024 0.8479 0.4017
Tm2 0.0399 0.5131 0.8267
Tm3 0.1654 0.8651 0.1185
Tm4 0.4939 0.3528 0.8487
Tm5 0.4976 0.8215 0.5141
# E, eV per formula unit: -36.93
# D(E_F), states/eV per cell: 22.607
# ΔE to the lowest computed polymorph, meV per atom: 107

***

> Number 3 is which compound?

YHo2Tm5

***

> Which of these has the highest ΔE to the lowest computed polymorph?

YHo2Tm5